This record from Alexandria via LeMat-Bulk describes PmNiB2O6 after structural relaxation. The functional is PBE with a Hubbard U.

Summary:
The value obtained for the theoretical density is 4.9 g cm⁻³. The symmetry is No. 148. As for the raw total energy: -72.8 eV for the cell shown.

```
PmNiB2O6
1.0
2.424 1.400 5.319
-2.424 1.400 5.319
0.000 -2.799 5.319
Pm Ni B O
1 1 2 6
Cartesian
0.000 0.000 0.000
0.000 0.000 7.979
0.000 0.000 3.779
0.000 0.000 12.179
-1.049 -1.243 6.795
-1.601 0.287 9.163
-0.552 1.530 6.795
0.552 -1.530 9.163
1.601 -0.287 6.795
1.049 1.243 9.163
```